[1]
ZrTi2Ge: optimized geometry, GGA-PBE.

a = 3.870 Å, b = 3.865 Å, c = 9.869 Å
α = 101.31°, β = 90.00°, γ = 90.00°
Fractional coordinates of all 8 atoms:
Zr: 0.250 0.304 0.609
Zr: 0.750 0.696 0.391
Ti: 0.750 0.445 0.889
Ti: 0.250 0.555 0.111
Ti: 0.250 0.946 0.892
Ti: 0.750 0.054 0.108
Ge: 0.750 0.842 0.684
Ge: 0.250 0.158 0.316

Summary:
E ... -31.21 eV/f.u.
ΔE_f ... -0.5641 eV per atom
V ... 144.72 Å³/cell
Total magnetization ... 0.00 Bohr magnetons per cell

=====

[2]
CaY4Ho2Tm: optimized geometry, GGA-PBE.

a = 9.593 Å, b = 9.593 Å, c = 11.933 Å
α = 128.53°, β = 128.53°, γ = 88.35°
Fractional coordinates of all 16 atoms:
Ca: 0.500 0.500 0.500
Ca: 0.000 0.000 0.000
Y: 0.254 0.745 0.999
Y: 0.755 0.246 0.501
Y: 0.245 0.754 0.499
Y: 0.746 0.255 0.001
Y: 0.747 0.744 0.012
Y: 0.756 0.753 0.488
Y: 0.244 0.247 0.512
Y: 0.253 0.256 0.988
Ho: 0.500 0.000 0.000
Ho: 0.500 0.000 0.500
Ho: 0.000 0.000 0.500
Ho: 0.500 0.500 0.000
Tm: 0.000 0.500 0.000
Tm: 0.000 0.500 0.500

Summary:
E ... -37.91 eV/f.u.
ΔE_f ... 0.4468 eV per atom
V ... 544.17 Å³/cell
Total magnetization ... 5.40 Bohr magnetons per cell